No. 1
Computed, not measured: an optimized crystal structure of ZrMoAs4 at the PBE level of DFT.

## Properties
Space group ... F-43m, No. 216
Formation energy from the elements ... 0.47 eV per atom
Calculated total energy ... -35.18 eV for the cell shown
N(E_F) ... 4.953 states/eV/f.u.

a b c (Å): 5.406 5.406 5.406
angles (deg): 60.00 60.00 60.00
Fractional positions:
As 0.874 0.375 0.375
As 0.375 0.375 0.375
As 0.375 0.874 0.375
As 0.375 0.375 0.874
Mo 0.750 0.750 0.750
Zr 0.000 0.000 0.000

=====

No. 2
Computed, not measured: an optimized crystal structure of Cs2InTe at the PBE level of DFT.

## Properties
Energy above the lowest structure with this stoichiometry ... 263.6 meV/atom
Space group ... I-42d, No. 122
Calculated total energy ... -17.65 eV for the cell shown
N(E_F) ... 1.904 states/eV/f.u.
Formation energy (no corrections) ... -1.236 eV/f.u.

a b c (Å): 10.901 10.901 8.532
angles (deg): 50.30 50.30 90.00
Fractional positions:
Te 0.750 0.250 0.500
Te 0.000 0.000 0.000
Cs 0.079 0.625 0.250
Cs 0.375 0.329 0.750
Cs 0.671 0.125 0.250
Cs 0.875 0.921 0.750
In 0.500 0.500 0.000
In 0.250 0.750 0.500

=====

No. 3
Computed, not measured: an optimized crystal structure of Cs2LiSmCl6 at the PBE level of DFT.

## Properties
Space group ... Fm-3m, No. 225
Calculated total energy ... -40.61 eV for the cell shown
N(E_F) ... 0.000 states/eV/f.u.
Formation energy (no corrections) ... -21.194 eV/f.u.

a b c (Å): 7.577 7.577 7.577
angles (deg): 60.00 60.00 60.00
Fractional positions:
Cl 0.253 0.747 0.747
Cl 0.747 0.747 0.253
Cl 0.253 0.747 0.253
Cl 0.747 0.253 0.747
Cl 0.747 0.253 0.253
Cl 0.253 0.253 0.747
Cs 0.250 0.250 0.250
Cs 0.750 0.750 0.750
Sm 0.000 0.000 0.000
Li 0.500 0.500 0.500

=====

No. 4
Computed, not measured: an optimized crystal structure of HfTe2SN at the PBE level of DFT.

## Properties
Energy above the lowest structure with this stoichiometry ... 316.3 meV/atom
Space group ... P4/mmm, No. 123
Calculated total energy ... -25.35 eV for the cell shown
N(E_F) ... 2.440 states/eV/f.u.
Formation energy (no corrections) ... 3.335 eV/f.u.

a b c (Å): 5.579 5.579 3.336
angles (deg): 90.00 90.00 90.00
Fractional positions:
Te 0.000 0.500 0.000
Te 0.500 0.000 0.000
Hf 0.500 0.500 0.500
N 0.000 0.000 0.500
S 0.000 0.000 0.000

=====

No. 5
Computed, not measured: an optimized crystal structure of VPt at the PBE level of DFT.

## Properties
Space group ... Fm-3m, No. 225
Formation energy from the elements ... 0.16 eV per atom
Calculated total energy ... -59.37 eV for the cell shown
N(E_F) ... 2.527 states/eV/f.u.

a b c (Å): 5.107 5.107 5.107
angles (deg): 90.00 90.00 90.00
Fractional positions:
Pt 0.000 0.500 0.000
Pt 0.000 0.000 0.500
Pt 0.500 0.500 0.500
Pt 0.500 0.000 0.000
V 0.500 0.500 0.000
V 0.500 0.000 0.500
V 0.000 0.000 0.000
V 0.000 0.500 0.500

=====

No. 6
Computed, not measured: an optimized crystal structure of TbNd4In3 at the PBE level of DFT.

## Properties
Energy above the lowest structure with this stoichiometry ... 25.3 meV/atom
Space group ... R-3m, No. 166
Formation energy from the elements ... -0.33 eV per atom
Calculated total energy ... -34.52 eV for the cell shown
N(E_F) ... 11.754 states/eV/f.u.

a b c (Å): 5.510 5.510 9.739
angles (deg): 73.57 73.57 60.00
Fractional positions:
In 0.741 0.741 0.778
In 0.259 0.259 0.222
In 0.500 0.500 0.500
Tb 0.000 0.000 0.000
Nd 0.131 0.131 0.608
Nd 0.617 0.617 0.148
Nd 0.383 0.383 0.852
Nd 0.869 0.869 0.392

=====

No. 7
Computed, not measured: an optimized crystal structure of Rb2LaCuCl6 at the PBE level of DFT.

## Properties
Energy above the lowest structure with this stoichiometry ... 30.7 meV/atom
Space group ... Fm-3m, No. 225
Calculated total energy ... -39.90 eV for the cell shown
N(E_F) ... 0.000 states/eV/f.u.
Formation energy (no corrections) ... -17.858 eV/f.u.

a b c (Å): 7.526 7.526 7.526
angles (deg): 60.00 60.00 60.00
Fractional positions:
Cl 0.740 0.260 0.740
Cl 0.260 0.740 0.740
Cl 0.260 0.740 0.260
Cl 0.260 0.260 0.740
Cl 0.740 0.740 0.260
Cl 0.740 0.260 0.260
Rb 0.750 0.750 0.750
Rb 0.250 0.250 0.250
Cu 0.500 0.500 0.500
La 0.000 0.000 0.000

=====

No. 8
Computed, not measured: an optimized crystal structure of Zr2TePt2 at the PBE level of DFT.

## Properties
Energy above the lowest structure with this stoichiometry ... 185.7 meV/atom
Space group ... I4/mmm, No. 139
Calculated total energy ... -35.48 eV for the cell shown
N(E_F) ... 4.204 states/eV/f.u.
Formation energy (no corrections) ... -3.160 eV/f.u.

a b c (Å): 4.694 4.694 6.219
angles (deg): 67.82 67.82 90.00
Fractional positions:
Te 0.000 0.000 0.000
Zr 0.750 0.250 0.500
Zr 0.250 0.750 0.500
Pt 0.625 0.625 0.750
Pt 0.375 0.375 0.250

=====

No. 9
Computed, not measured: an optimized crystal structure of CaSmCuN2 at the PBE level of DFT.

## Properties
Space group ... P2/c, No. 13
Calculated total energy ... -61.85 eV for the cell shown
Formation energy (no corrections) ... -3.456 eV/f.u.

a b c (Å): 5.045 5.414 6.586
angles (deg): 90.13 90.00 90.00
Fractional positions:
N 0.238 0.739 0.500
N 0.762 0.261 0.500
N 0.238 0.261 0.000
N 0.762 0.739 0.000
Cu 0.000 0.000 0.000
Cu 0.000 0.000 0.500
Ca 0.500 0.000 0.250
Ca 0.500 0.000 0.750
Sm 0.001 0.500 0.750
Sm 0.999 0.500 0.250

=====

No. 10
Computed, not measured: an optimized crystal structure of RePtW4 at the PBE level of DFT.

## Properties
Space group ... F-43m, No. 216
Formation energy from the elements ... 0.38 eV per atom
Calculated total energy ... -68.05 eV for the cell shown
N(E_F) ... 4.193 states/eV/f.u.

a b c (Å): 5.193 5.193 5.193
angles (deg): 60.00 60.00 60.00
Fractional positions:
Pt 0.750 0.750 0.750
W 0.375 0.375 0.375
W 0.875 0.375 0.375
W 0.375 0.375 0.875
W 0.375 0.875 0.375
Re 0.000 0.000 0.000

=====

No. 11
Computed, not measured: an optimized crystal structure of La2TlCr at the PBE level of DFT.

## Properties
Energy above the lowest structure with this stoichiometry ... 73.5 meV/atom
Space group ... I-4m2, No. 119
Formation energy from the elements ... 0.11 eV per atom
Calculated total energy ... -21.39 eV for the cell shown
N(E_F) ... 4.349 states/eV/f.u.

a b c (Å): 5.969 5.969 5.969
angles (deg): 133.01 133.01 68.64
Fractional positions:
La 0.250 0.750 0.500
La 0.000 0.000 0.000
Tl 0.500 0.500 0.000
Cr 0.750 0.250 0.500

=====

No. 12
Computed, not measured: an optimized crystal structure of Ac8Si5Br at the PBE level of DFT.

## Properties
Space group ... I-4, No. 82
Calculated total energy ... -70.18 eV for the cell shown
N(E_F) ... 13.743 states/eV/f.u.
Formation energy (no corrections) ... -8.523 eV/f.u.

a b c (Å): 8.383 8.383 8.383
angles (deg): 109.49 109.44 109.49
Fractional positions:
Si 0.369 0.117 0.994
Si 0.500 0.000 0.500
Si 0.748 0.625 0.631
Si 0.877 0.883 0.252
Si 0.006 0.375 0.123
Ac 0.264 0.248 0.364
Ac 0.115 0.752 0.016
Ac 0.636 0.900 0.885
Ac 0.500 0.622 0.258
Ac 0.122 0.757 0.500
Ac 0.635 0.378 0.878
Ac 0.984 0.100 0.736
Ac 0.742 0.243 0.365
Br 0.250 0.500 0.750

=====

Among the records above, which one has the highest calculated total energy?
Cs2InTe